Record 1
An optimized crystal structure of K5HBr4, computed with PBE-GGA.

## Properties
Energy: -2.970 eV/atom
M_tot: 0.037 μB per formula unit
DOS(E_F): 0.00 states/eV per cell

Lattice parameters (Å, degrees): 4.665 4.665 32.543 90.00 90.00 90.00
Space group I4/mmm (No. 139)
Symmetry-distinct sites (fractional):
K 0.000 0.000 0.000
K 0.000 0.000 0.200
K 0.000 0.000 0.408
H 0.000 0.000 0.500
Br 0.000 0.000 0.098
Br 0.000 0.000 0.303

Record 2
An optimized crystal structure of GdInGe2, computed with PBE-GGA.

## Properties
Energy above the most stable polymorph in this dataset: 207 meV per atom
Formation energy from the elements: -222.9 meV/atom
M_tot: 7.022 μB per formula unit
DOS(E_F): 8.56 states/eV per cell

Lattice parameters (Å, degrees): 4.7217 4.7217 14.4932 90.00 90.00 120.00
Space group R-3m (No. 166, hexagonal axes)
Symmetry-distinct sites (fractional):
Gd 0.0000 0.0000 0.0000
In 0.0000 0.0000 0.5000
Ge 0.0000 0.0000 0.2253

Record 3
An optimized crystal structure of SrNb2Al2, computed with PBE-GGA.

## Properties
Energy above the most stable polymorph in this dataset: 0 meV per atom
Formation energy from the elements: -20.8 meV/atom
M_tot: 0.000 μB per formula unit
DOS(E_F): 7.08 states/eV per cell

Lattice parameters (Å, degrees): 8.442 8.442 2.911 90.00 90.00 90.00
Space group P4/mbm (No. 127)
Symmetry-distinct sites (fractional):
Sr 0.000 0.000 0.000
Nb 0.112 0.388 0.000
Al 0.176 0.676 0.500

Record 4
An optimized crystal structure of NbFe2GeC, computed with PBE-GGA.

## Properties
Formation energy from the elements: -77.8 meV/atom
M_tot: 4.164 μB per formula unit
DOS(E_F): 3.45 states/eV per cell

Lattice parameters (Å, degrees): 3.841 3.841 4.340 90.00 90.00 90.00
Space group P4/mmm (No. 123)
Symmetry-distinct sites (fractional):
Nb 0.000 0.000 0.000
Fe 0.000 0.500 0.500
Ge 0.500 0.500 0.000
C 0.000 0.000 0.500

Record 5
An optimized crystal structure of NdZrPa, computed with PBE-GGA.

## Properties
Energy above the most stable polymorph in this dataset: 0 meV per atom
Formation energy from the elements: 185.9 meV/atom
M_tot: 0.000 μB per formula unit
DOS(E_F): 4.28 states/eV per cell

Lattice parameters (Å, degrees): 3.3484 3.3484 8.3138 90.00 90.00 120.00
Space group P3m1 (No. 156)
Symmetry-distinct sites (fractional):
Nd 0.0000 0.0000 0.0000
Zr 0.3333 0.6667 0.6541
Pa 0.6667 0.3333 0.3439

Record 6
An optimized crystal structure of PrTeRu, computed with PBE-GGA.

## Properties
Uncorrected formation energy: -3.4 kcal/mol of atoms
M_tot: 0.000 μB per formula unit
DOS(E_F): 16.23 states/eV per cell

Lattice parameters (Å, degrees): 12.117 3.808 6.635 90.00 90.00 90.00
Space group Amm2 (No. 38)
Symmetry-distinct sites (fractional):
Pr 0.159 0.000 0.000
Te 0.369 0.000 0.667
Ru 0.000 0.000 0.668
Ru 0.500 0.000 0.999